Record 1
The following is a PBEsol calculation of a relaxed structure of NaNi2PCl, from the Alexandria database.

Calculated values
**Calculated total energy**: -0.165 hartree per atom
**ΔE_f (raw)**: -0.20 eV per atom

a = 4.076 Å, b = 4.076 Å, c = 5.891 Å
α = 90.00°, β = 90.00°, γ = 90.00°
Space group P4/mmm (No. 123)
Unique sites:
Na 0.000 0.000 0.000 (multiplicity 1)
Ni 0.000 0.500 0.500 (multiplicity 2)
P 0.500 0.500 0.500 (multiplicity 1)
Cl 0.500 0.500 0.000 (multiplicity 1)

Record 2
The following is a PBEsol calculation of a relaxed structure of NaP2ClO, from the Alexandria database.

Calculated values
**Calculated total energy**: -0.103 hartree per atom
**ΔE_f (raw)**: 1.26 eV per atom

a = 4.892 Å, b = 4.892 Å, c = 3.920 Å
α = 90.00°, β = 90.00°, γ = 90.00°
Space group P4/mmm (No. 123)
Unique sites:
Na 0.000 0.000 0.000 (multiplicity 1)
P 0.000 0.500 0.000 (multiplicity 2)
Cl 0.500 0.500 0.500 (multiplicity 1)
O 0.000 0.000 0.500 (multiplicity 1)

Record 3
The following is a PBEsol calculation of a relaxed structure of Na9ZrP4ClO16, from the Alexandria database.

Calculated values
**Calculated total energy**: -0.241 hartree per atom
**ΔE_f (raw)**: -2.34 eV per atom

a = 5.381 Å, b = 9.046 Å, c = 9.143 Å
α = 111.03°, β = 91.67°, γ = 90.48°
Space group P1 (No. 1)
Unique sites:
Na 0.000 0.000 0.000 (multiplicity 1)
Na 0.000 0.458 0.374 (multiplicity 1)
Na 0.401 0.544 0.001 (multiplicity 1)
Na 0.420 0.922 0.411 (multiplicity 1)
Na 0.508 0.791 0.741 (multiplicity 1)
Na 0.524 0.195 0.165 (multiplicity 1)
Na 0.905 0.339 0.963 (multiplicity 1)
Na 0.923 0.719 0.190 (multiplicity 1)
Na 0.933 0.918 0.616 (multiplicity 1)
Zr 0.474 0.362 0.590 (multiplicity 1)
P 0.439 0.145 0.827 (multiplicity 1)
P 0.510 0.568 0.328 (multiplicity 1)
P 0.945 0.129 0.392 (multiplicity 1)
P 0.994 0.607 0.777 (multiplicity 1)
Cl 0.482 0.865 0.085 (multiplicity 1)
O 0.000 0.958 0.370 (multiplicity 1)
O 0.147 0.239 0.509 (multiplicity 1)
O 0.255 0.195 0.961 (multiplicity 1)
O 0.257 0.612 0.274 (multiplicity 1)
O 0.261 0.560 0.709 (multiplicity 1)
O 0.338 0.009 0.681 (multiplicity 1)
O 0.458 0.431 0.394 (multiplicity 1)
O 0.489 0.302 0.788 (multiplicity 1)
O 0.642 0.709 0.455 (multiplicity 1)
O 0.681 0.494 0.187 (multiplicity 1)
O 0.683 0.167 0.470 (multiplicity 1)
O 0.692 0.100 0.881 (multiplicity 1)
O 0.798 0.497 0.656 (multiplicity 1)
O 0.938 0.174 0.246 (multiplicity 1)
O 0.949 0.777 0.789 (multiplicity 1)
O 0.984 0.576 0.931 (multiplicity 1)

DOS at the Fermi energy across the listed records, respectively: 2.32 5.36 0.00 states/eV per cell.